Crystalline Mg2ZrTa at its relaxed geometry. Source: Alexandria via LeMat-Bulk, functional PBE.

```
data_Mg2ZrTa
_chemical_formula_sum 'Mg4 Zr2 Ta2'
_cell_length_a 3.419
_cell_length_b 4.618
_cell_length_c 10.397
_cell_angle_alpha 90.00
_cell_angle_beta 90.00
_cell_angle_gamma 90.00
_space_group_name_H-M_alt 'C m m m'
_space_group_IT_number 65
_space_group_name_Hall '-C 2 2'
loop_
_atom_site_label
_atom_site_fract_x
_atom_site_fract_y
_atom_site_fract_z
Mg1 0.000 0.000 0.237
Zr1 0.000 0.500 0.500
Ta1 0.000 0.500 0.000
```

Calculated values
Its crystal system is orthorhombic. The density of states at the Fermi level comes out at 3.6 states/eV/f.u. For the formation energy, the calculation gives 212 meV/atom. The value obtained for the distance to the lowest polymorph of the same formula is 11.26 kJ/mol of atoms.


Crystalline Sr2AgSn at its relaxed geometry. Source: Alexandria via LeMat-Bulk, functional PBE.

```
data_Sr2AgSn
_chemical_formula_sum 'Sr6 Ag3 Sn3'
_cell_length_a 4.1420
_cell_length_b 4.1420
_cell_length_c 32.4927
_cell_angle_alpha 90.00
_cell_angle_beta 90.00
_cell_angle_gamma 120.00
_space_group_name_H-M_alt 'R -3 m'
_space_group_IT_number 166
_space_group_name_Hall '-R 3 2"'
loop_
_atom_site_label
_atom_site_fract_x
_atom_site_fract_y
_atom_site_fract_z
Sr1 0.0000 0.0000 0.1019
Ag1 0.0000 0.0000 0.5000
Sn1 0.0000 0.0000 0.0000
```

Calculated values
Its crystal system is trigonal. The density of states at the Fermi level comes out at 4.0 states/eV/f.u. For the formation energy, the calculation gives 75 meV/atom.


Crystalline AcAl2IrO8 at its relaxed geometry. Source: Alexandria via LeMat-Bulk, functional PBE.

```
data_AcAl2IrO8
_chemical_formula_sum 'Ac1 Al2 Ir1 O8'
_cell_length_a 4.556
_cell_length_b 4.563
_cell_length_c 7.309
_cell_angle_alpha 87.12
_cell_angle_beta 87.43
_cell_angle_gamma 87.87
_space_group_name_H-M_alt 'P -1'
_space_group_IT_number 2
loop_
_space_group_symop_operation_xyz
'x,y,z'
'-x,-y,-z'
loop_
_atom_site_label
_atom_site_fract_x
_atom_site_fract_y
_atom_site_fract_z
Ac1 0.000 0.000 0.000
Al1 0.466 0.466 0.689
Ir1 0.000 0.000 0.500
O1 0.203 0.787 0.694
O2 0.209 0.795 0.307
O3 0.302 0.301 0.490
O4 0.357 0.349 0.919
```

Calculated values
Its crystal system is triclinic. The formation energy from raw total energies is -1.97 eV/atom. The density of states at the Fermi level comes out at 6.9 states/eV/f.u.


Crystalline GdZrGaRu at its relaxed geometry. Source: Alexandria via LeMat-Bulk, functional PBE.

```
data_GdZrGaRu
_chemical_formula_sum 'Gd4 Zr4 Ga4 Ru4'
_cell_length_a 6.846
_cell_length_b 6.846
_cell_length_c 6.846
_cell_angle_alpha 90.00
_cell_angle_beta 90.00
_cell_angle_gamma 90.00
_space_group_name_H-M_alt 'F -4 3 m'
_space_group_IT_number 216
_space_group_name_Hall 'F -4 2 3'
loop_
_atom_site_label
_atom_site_fract_x
_atom_site_fract_y
_atom_site_fract_z
Gd1 0.000 0.000 0.000
Zr1 0.000 0.000 0.500
Ga1 0.250 0.250 0.750
Ru1 0.250 0.250 0.250
```

Calculated values
Its crystal system is cubic. The density of states at the Fermi level comes out at 2.9 states/eV/f.u. For the formation energy, the calculation gives -373 meV/atom.


Crystalline ThTiBi2N at its relaxed geometry. Source: Alexandria via LeMat-Bulk, functional PBE.

```
data_ThTiBi2N
_chemical_formula_sum 'Th2 Ti2 Bi4 N2'
_cell_length_a 4.003
_cell_length_b 4.003
_cell_length_c 15.328
_cell_angle_alpha 90.00
_cell_angle_beta 90.00
_cell_angle_gamma 90.00
_space_group_name_H-M_alt 'P 4/n m m'
_space_group_IT_number 129
loop_
_space_group_symop_operation_xyz
'x,y,z'
'-x,-y,-z'
'-y+1/2,x,z'
'y+1/2,-x,-z'
'-x+1/2,-y+1/2,z'
'x+1/2,y+1/2,-z'
'y,-x+1/2,z'
'-y,x+1/2,-z'
'x+1/2,-y,-z'
'-x+1/2,y,z'
'-y,-x,-z'
'y,x,z'
'-x,y+1/2,-z'
'x,-y+1/2,z'
'y+1/2,x+1/2,-z'
'-y+1/2,-x+1/2,z'
loop_
_atom_site_label
_atom_site_fract_x
_atom_site_fract_y
_atom_site_fract_z
Th1 0.250 0.250 0.077
Ti1 0.250 0.250 0.570
Bi1 0.250 0.250 0.380
Bi2 0.250 0.250 0.767
N1 0.250 0.750 0.000
```

Calculated values
Its crystal system is tetragonal. The formation energy from raw total energies is -0.73 eV/atom. The density of states at the Fermi level comes out at 2.8 states/eV/f.u.


Crystalline PrNdSm2Y2 at its relaxed geometry. Source: Alexandria via LeMat-Bulk, functional PBE.

```
data_PrNdSm2Y2
_chemical_formula_sum 'Pr2 Nd2 Sm4 Y4'
_cell_length_a 6.692
_cell_length_b 18.165
_cell_length_c 3.433
_cell_angle_alpha 90.00
_cell_angle_beta 90.00
_cell_angle_gamma 90.00
_space_group_name_H-M_alt 'P n n m'
_space_group_IT_number 58
loop_
_space_group_symop_operation_xyz
'x,y,z'
'-x,-y,-z'
'-x,-y,z'
'x,y,-z'
'x+1/2,-y+1/2,-z+1/2'
'-x+1/2,y+1/2,z+1/2'
'-x+1/2,y+1/2,-z+1/2'
'x+1/2,-y+1/2,z+1/2'
loop_
_atom_site_label
_atom_site_fract_x
_atom_site_fract_y
_atom_site_fract_z
Pr1 0.000 0.000 0.000
Nd1 0.000 0.500 0.000
Sm1 0.226 0.184 0.000
Y1 0.224 0.350 0.500
```

Calculated values
Its crystal system is orthorhombic. The density of states at the Fermi level comes out at 11.1 states/eV/f.u. For the formation energy, the calculation gives 274 meV/atom.


Crystalline SrSi2Pt at its relaxed geometry. Source: Alexandria via LeMat-Bulk, functional PBE.

```
data_SrSi2Pt
_chemical_formula_sum 'Sr1 Si2 Pt1'
_cell_length_a 3.710
_cell_length_b 3.961
_cell_length_c 5.862
_cell_angle_alpha 90.00
_cell_angle_beta 90.00
_cell_angle_gamma 90.00
_space_group_name_H-M_alt 'P m m 2'
_space_group_IT_number 25
loop_
_space_group_symop_operation_xyz
'x,y,z'
'-x,-y,z'
'-x,y,z'
'x,-y,z'
loop_
_atom_site_label
_atom_site_fract_x
_atom_site_fract_y
_atom_site_fract_z
Sr1 0.000 0.000 0.000
Si1 0.000 0.500 0.441
Si2 0.500 0.500 0.718
Pt1 0.500 0.000 0.483
```

Calculated values
Its crystal system is orthorhombic. The formation energy from raw total energies is -0.45 eV/atom. The density of states at the Fermi level comes out at 1.0 states/eV/f.u.


Crystalline Cs2PH4Se3O2 at its relaxed geometry. Source: Alexandria via LeMat-Bulk, functional PBE.

```
data_Cs2PH4Se3O2
_chemical_formula_sum 'Cs8 P4 H16 Se12 O8'
_cell_length_a 10.291
_cell_length_b 12.901
_cell_length_c 8.035
_cell_angle_alpha 90.00
_cell_angle_beta 90.00
_cell_angle_gamma 90.00
_space_group_name_H-M_alt 'P n n m'
_space_group_IT_number 58
loop_
_space_group_symop_operation_xyz
'x,y,z'
'-x,-y,-z'
'-x,-y,z'
'x,y,-z'
'x+1/2,-y+1/2,-z+1/2'
'-x+1/2,y+1/2,z+1/2'
'-x+1/2,y+1/2,-z+1/2'
'x+1/2,-y+1/2,z+1/2'
loop_
_atom_site_label
_atom_site_fract_x
_atom_site_fract_y
_atom_site_fract_z
Cs1 0.000 0.000 0.000
Cs2 0.000 0.000 0.500
Cs3 0.110 0.334 0.000
P1 0.112 0.494 0.500
H1 0.092 0.753 0.296
H2 0.175 0.826 0.185
Se1 0.150 0.325 0.500
Se2 0.182 0.571 0.272
O1 0.095 0.825 0.256
```

Calculated values
Its crystal system is orthorhombic. The density of states at the Fermi level comes out at 0.0 states/eV/f.u. The energy comes out at -208.76 eV/cell.


Look up the density of states at the Fermi level of the seventh one. 1.0 states/eV/f.u.


Which of these has the lowest density of states at the Fermi level? Cs2PH4Se3O2